No. 1
Computed, not measured: ZnSbHW2 after structural relaxation at the PBE level of DFT.

Computed properties:
Symmetry = No. 123
DOS at the Fermi energy = 5.257 states/eV/cell
Total magnetic moment = 0.00 μB per formula unit
Calculated volume = 77.4 Å³ per cell
DFT total energy = -5.654 eV per atom

Cell lengths 4.9622, 4.9622, 3.1447 Å; angles 90.00, 90.00, 90.00 degrees
Closest atoms and distances in Å follow each position.
Atoms (fractional coordinates):
Zn 0.0000 0.0000 0.0000  2 H 1.57
Sb 0.5000 0.5000 0.5000  8 W 2.94, 2 Sb 3.14
H 0.0000 0.0000 0.5000  2 Zn 1.57
W 0.0000 0.5000 0.0000  2 Zn 2.48
W 0.5000 0.0000 0.0000  2 Zn 2.48

***

No. 2
Computed, not measured: ZnSb2HW after structural relaxation at the PBE level of DFT.

Computed properties:
Symmetry = No. 123
DOS at the Fermi energy = 3.884 states/eV/cell
Total magnetic moment = 3.53 μB per formula unit
Calculated volume = 130.3 Å³ per cell
DFT total energy = -3.370 eV per atom

Cell lengths 5.1396, 5.1396, 4.9344 Å; angles 90.00, 90.00, 90.00 degrees
Closest atoms and distances in Å follow each position.
Atoms (fractional coordinates):
Zn 0.0000 0.0000 0.0000  2 W 2.47, 4 Sb 2.57
Sb 0.0000 0.5000 0.0000  2 Zn 2.57
Sb 0.5000 0.0000 0.0000  2 Zn 2.57
H 0.5000 0.5000 0.5000  8 Sb 3.56, 4 W 3.63
W 0.0000 0.0000 0.5000  2 Zn 2.47

***

No. 3
Computed, not measured: YSbH3 after structural relaxation at the PBE level of DFT.

Computed properties:
Symmetry = No. 221
DOS at the Fermi energy = 1.312 states/eV/cell
Total magnetic moment = 0.00 μB per formula unit
Energy above the most stable polymorph in this dataset = 389.7 meV/atom
Calculated volume = 68.0 Å³ per cell

Cell lengths 4.0807, 4.0807, 4.0807 Å; angles 90.00, 90.00, 90.00 degrees
Closest atoms and distances in Å follow each position.
Atoms (fractional coordinates):
Y 0.0000 0.0000 0.0000  12 H 2.89
Sb 0.5000 0.5000 0.5000  6 H 2.04
H 0.0000 0.5000 0.5000  2 Sb 2.04
H 0.5000 0.0000 0.5000  2 Sb 2.04
H 0.5000 0.5000 0.0000  2 Sb 2.04

***

No. 4
Computed, not measured: Y4Sb2H after structural relaxation at the PBE level of DFT.

Computed properties:
Symmetry = No. 11
DOS at the Fermi energy = 12.932 states/eV/cell
Total magnetic moment = 0.00 μB per formula unit
Energy above the most stable polymorph in this dataset = 17.6 meV/atom
Calculated volume = 347.4 Å³ per cell

Cell lengths 6.4594, 6.4037, 8.8295 Å; angles 90.00, 107.98, 90.00 degrees
Closest atoms and distances in Å follow each position.
Atoms (fractional coordinates):
Y 0.0254 0.0024 0.2956  1 H 2.21
Y 0.0254 0.4976 0.2956  1 H 2.21
Y 0.3575 0.7500 0.0615  1 H 2.21
Y 0.4323 0.7500 0.6470  1 H 2.21
Y 0.5677 0.2500 0.3530  1 H 2.21
Y 0.6425 0.2500 0.9385  1 H 2.21
Y 0.9746 0.5024 0.7044  1 H 2.21
Y 0.9746 0.9976 0.7044  1 H 2.21
Sb 0.1982 0.2500 0.0324  9 Y 3.09-3.43, 1 H 3.45
Sb 0.3254 0.2500 0.5978  8 Y 3.03-3.28
Sb 0.6746 0.7500 0.4022  8 Y 3.03-3.28
Sb 0.8018 0.7500 0.9676  9 Y 3.09-3.43, 1 H 3.45
H 0.2178 0.7500 0.7990  4 Y 2.21
H 0.7822 0.2500 0.2010  4 Y 2.21

***

No. 5
Computed, not measured: YSbH3 after structural relaxation at the PBE level of DFT.

Computed properties:
Symmetry = No. 221
DOS at the Fermi energy = 3.331 states/eV/cell
Total magnetic moment = 0.00 μB per formula unit
Energy above the most stable polymorph in this dataset = 0.0 meV/atom
Calculated volume = 69.3 Å³ per cell

Cell lengths 4.1079, 4.1079, 4.1079 Å; angles 90.00, 90.00, 90.00 degrees
Closest atoms and distances in Å follow each position.
Atoms (fractional coordinates):
Y 0.0000 0.0000 0.0000  6 H 2.05
Sb 0.5000 0.5000 0.5000  12 H 2.90
H 0.0000 0.0000 0.5000  2 Y 2.05
H 0.0000 0.5000 0.0000  2 Y 2.05
H 0.5000 0.0000 0.0000  2 Y 2.05

***

No. 6
Computed, not measured: Y3SbH2 after structural relaxation at the PBE level of DFT.

Computed properties:
Symmetry = No. 12
DOS at the Fermi energy = 8.082 states/eV/cell
Total magnetic moment = 0.00 μB per formula unit
Calculated volume = 258.8 Å³ per cell
DFT total energy = -5.679 eV per atom

Cell lengths 11.0997, 11.0997, 6.1349 Å; angles 104.01, 104.01, 20.69 degrees
Closest atoms and distances in Å follow each position.
Atoms (fractional coordinates):
Y 0.0424 0.0424 0.2789  2 H 2.25-2.29
Y 0.2302 0.2302 0.2132  3 H 2.18-2.32
Y 0.3994 0.3994 0.1490  3 H 2.29-2.31
Y 0.6006 0.6006 0.8510  3 H 2.29-2.31
Y 0.7698 0.7698 0.7868  3 H 2.18-2.32
Y 0.9576 0.9576 0.7211  2 H 2.25-2.29
Sb 0.3496 0.3496 0.5941  1 H 2.96, 7 Y 3.04-3.31
Sb 0.6504 0.6504 0.4059  1 H 2.96, 7 Y 3.04-3.31
H 0.0584 0.0584 0.9244  4 Y 2.25-2.29
H 0.2920 0.2920 0.9829  4 Y 2.18-2.32
H 0.7080 0.7080 0.0171  4 Y 2.18-2.32
H 0.9416 0.9416 0.0756  4 Y 2.25-2.29

***

No. 7
Computed, not measured: Y6Sb3H after structural relaxation at the PBE level of DFT.

Computed properties:
Symmetry = No. 36
DOS at the Fermi energy = 15.292 states/eV/cell
Total magnetic moment = 0.00 μB per formula unit
Calculated volume = 545.7 Å³ per cell
DFT total energy = -6.121 eV per atom

Cell lengths 9.4510, 9.4510, 6.3162 Å; angles 90.00, 90.00, 104.70 degrees
Closest atoms and distances in Å follow each position.
Atoms (fractional coordinates):
Y 0.0804 0.9196 0.5000  1 H 2.21
Y 0.0959 0.5477 0.7019  1 H 2.37
Y 0.2627 0.3580 0.1527  4 Sb 3.03-3.18
Y 0.2681 0.7319 0.2062  1 H 2.27
Y 0.3580 0.2627 0.6527  4 Sb 3.03-3.18
Y 0.4523 0.9041 0.7019  1 H 2.37
Y 0.5477 0.0959 0.2019  1 H 2.37
Y 0.6420 0.7373 0.1527  4 Sb 3.03-3.18
Y 0.7319 0.2681 0.7062  1 H 2.27
Y 0.7373 0.6420 0.6527  4 Sb 3.03-3.18
Y 0.9041 0.4523 0.2019  1 H 2.37
Y 0.9196 0.0804 0.0000  1 H 2.21
Sb 0.0376 0.2441 0.4948  6 Y 3.03-3.24, 1 Sb 3.25
Sb 0.2441 0.0376 0.9948  6 Y 3.03-3.24, 1 Sb 3.25
Sb 0.4132 0.5868 0.8325  7 Y 3.04-3.21, 1 H 3.31
Sb 0.5868 0.4132 0.3325  7 Y 3.04-3.21, 1 H 3.31
Sb 0.7559 0.9624 0.4948  6 Y 3.03-3.24, 1 Sb 3.25
Sb 0.9624 0.7559 0.9948  6 Y 3.03-3.24, 1 Sb 3.25
H 0.2264 0.7736 0.5521  4 Y 2.21-2.37
H 0.7736 0.2264 0.0521  4 Y 2.21-2.37

***

No. 8
Computed, not measured: Y4SbH after structural relaxation at the PBE level of DFT.

Computed properties:
Symmetry = No. 2
DOS at the Fermi energy = 14.689 states/eV/cell
Total magnetic moment = 0.00 μB per formula unit
Calculated volume = 304.0 Å³ per cell
DFT total energy = -5.837 eV per atom

Cell lengths 6.0095, 6.0399, 8.9392 Å; angles 70.60, 83.73, 89.94 degrees
Closest atoms and distances in Å follow each position.
Atoms (fractional coordinates):
Y 0.2123 0.4500 0.3985  1 H 2.10
Y 0.2436 0.1032 0.1882  1 H 2.87, 1 Y 3.18
Y 0.2562 0.2980 0.8104  1 H 2.86, 1 Y 3.18
Y 0.2874 0.8498 0.6003  1 H 2.10
Y 0.7126 0.1502 0.3997  1 H 2.10
Y 0.7438 0.7020 0.1896  1 H 2.86, 1 Y 3.18
Y 0.7564 0.8968 0.8118  1 H 2.87, 1 Y 3.18
Y 0.7877 0.5500 0.6015  1 H 2.10
Sb 0.2501 0.7186 0.9989  10 Y 3.29-3.57
Sb 0.7499 0.2814 0.0011  10 Y 3.29-3.57
H 0.0000 0.0000 0.5000  2 Y 2.10
H 0.5000 0.5000 0.5000  2 Y 2.10